First-principles (GGA-PBE) data for Na2NpInS4 after structural relaxation, as listed in the Alexandria database.

Values from the calculation:
The calculation puts the calculated density at 4761 kg/m³. As for the calculated total energy: -5.426 eV/atom. The calculation puts the calculated volume at 22.9 Å³ per atom.

```
data_Na2NpInS4
_cell_length_a 6.9687
_cell_length_b 3.9642
_cell_length_c 7.0329
_cell_angle_alpha 90.00
_cell_angle_beta 109.19
_cell_angle_gamma 90.00
_symmetry_space_group_name_H-M 'P 1 2/m 1'
_symmetry_Int_Tables_number 10
loop_
_symmetry_equiv_pos_as_xyz
'x,y,z'
'-x,-y,-z'
'-x,y,-z'
'x,-y,z'
loop_
_atom_site_label
_atom_site_fract_x
_atom_site_fract_y
_atom_site_fract_z
_atom_site_occupancy
Na1 0.0000 0.0000 0.0000 1
Na2 0.5000 0.5000 0.0000 1
Np1 0.0000 0.5000 0.5000 1
In1 0.5000 0.0000 0.5000 1
S1 0.2423 0.0000 0.7278 1
S2 0.2614 0.5000 0.2779 1
```



First-principles (GGA-PBE) data for Ba2LiFe after structural relaxation, as listed in the Alexandria database.

Values from the calculation:
The calculation puts the calculated density at 4064 kg/m³. The calculation puts the calculated volume at 34.5 Å³ per atom. The formation energy comes out at 502 meV per atom.

```
data_Ba2LiFe
_cell_length_a 3.8489
_cell_length_b 5.6751
_cell_length_c 12.6233
_cell_angle_alpha 90.00
_cell_angle_beta 90.00
_cell_angle_gamma 90.00
_symmetry_space_group_name_H-M 'I m m 2'
_symmetry_Int_Tables_number 44
loop_
_symmetry_equiv_pos_as_xyz
'x,y,z'
'-x,-y,z'
'-x,y,z'
'x,-y,z'
'x+1/2,y+1/2,z+1/2'
'-x+1/2,-y+1/2,z+1/2'
'-x+1/2,y+1/2,z+1/2'
'x+1/2,-y+1/2,z+1/2'
loop_
_atom_site_label
_atom_site_fract_x
_atom_site_fract_y
_atom_site_fract_z
_atom_site_occupancy
Ba1 0.0000 0.0000 0.0000 1
Ba2 0.0000 0.5000 0.2020 1
Li1 0.0000 0.0000 0.3892 1
Fe1 0.0000 0.5000 0.7306 1
```



First-principles (GGA-PBE) data for ZnInCo2 after structural relaxation, as listed in the Alexandria database.

Values from the calculation:
The calculation puts the calculated density at 9108 kg/m³. The calculation puts the calculated volume at 13.6 Å³ per atom. The formation energy comes out at 111 meV per atom.

```
data_ZnInCo2
_cell_length_a 4.2165
_cell_length_b 4.2165
_cell_length_c 3.0570
_cell_angle_alpha 90.00
_cell_angle_beta 90.00
_cell_angle_gamma 90.00
_symmetry_space_group_name_H-M 'P 4/m m m'
_symmetry_Int_Tables_number 123
_symmetry_space_group_name_Hall '-P 4 2'
loop_
_atom_site_label
_atom_site_fract_x
_atom_site_fract_y
_atom_site_fract_z
_atom_site_occupancy
Zn1 0.0000 0.0000 0.0000 1
In1 0.5000 0.5000 0.0000 1
Co1 0.0000 0.5000 0.5000 1
```



First-principles (GGA-PBE) data for LiNbZn after structural relaxation, as listed in the Alexandria database.

Values from the calculation:
The calculation puts the calculated density at 5760 kg/m³. The calculation puts the calculated volume at 15.9 Å³ per atom. The formation energy comes out at 233 meV per atom.

```
data_LiNbZn
_cell_length_a 4.5176
_cell_length_b 4.5176
_cell_length_c 5.3913
_cell_angle_alpha 90.00
_cell_angle_beta 90.00
_cell_angle_gamma 120.00
_symmetry_space_group_name_H-M 'P 63/m m c'
_symmetry_Int_Tables_number 194
_symmetry_space_group_name_Hall '-P 6c 2c'
loop_
_atom_site_label
_atom_site_fract_x
_atom_site_fract_y
_atom_site_fract_z
_atom_site_occupancy
Li1 0.0000 0.0000 0.0000 1
Nb1 0.3333 0.6667 0.2500 1
Zn1 0.3333 0.6667 0.7500 1
```